(1)
CaW2Se | SCAN | PBEsol geometry

Calculated values
* formation energy from raw total energies: 0.057 eV/atom
* calculated total energy: -42.222 eV per atom
* total magnetization: 0.00 μB/f.u.

abc: 3.214 3.439 14.515
angles: 90.00 90.00 90.00
Space group Amm2 (No. 38)
Asymmetric unit:
Ca: 0.000 0.000 0.000 x2
W: 0.000 0.000 0.240 x2
W: 0.500 0.000 0.661 x2
Se: 0.500 0.000 0.382 x2

(2)
CaYSe2 | SCAN | PBEsol geometry

Calculated values
* formation energy from raw total energies: -2.119 eV/atom
* calculated total energy: -21.535 eV per atom
* total magnetization: 0.00 μB/f.u.
* polymorph energy (0 for the lowest one): 0.0 meV per atom

abc: 4.0488 4.0488 20.1961
angles: 90.00 90.00 120.00
Space group R-3m (No. 166, hexagonal axes)
Asymmetric unit:
Ca: 0.0000 0.0000 0.0000 x3
Y: 0.0000 0.0000 0.5000 x3
Se: 0.0000 0.0000 0.2487 x6

Which value of formation energy from raw total energies does entry 1 give?
0.057 eV/atom

Which formula does entry 2 have?
CaYSe2